# 1
DyP5O14 | PBEsol | relaxed

Calculated values
E_form (uncorrected): -2.37 eV/atom
raw total energy: -0.569 Ry per atom
relative energy among the computed polymorphs: 0 meV/atom

Cell: 9.107 9.107 12.450 Å, 91.06 91.06 89.50°
Element x y z (fractional)
Dy: 0.020 0.980 0.750
Dy: 0.467 0.533 0.750
Dy: 0.533 0.467 0.250
Dy: 0.980 0.020 0.250
P: 0.021 0.682 0.395
P: 0.071 0.576 0.740
P: 0.114 0.177 0.000
P: 0.177 0.114 0.500
P: 0.182 0.452 0.110
P: 0.318 0.979 0.105
P: 0.327 0.626 0.467
P: 0.374 0.673 0.033
P: 0.424 0.929 0.760
P: 0.452 0.182 0.610
P: 0.548 0.818 0.390
P: 0.576 0.071 0.240
P: 0.626 0.327 0.967
P: 0.673 0.374 0.533
P: 0.682 0.021 0.895
P: 0.818 0.548 0.890
P: 0.823 0.886 0.500
P: 0.886 0.823 0.000
P: 0.929 0.424 0.260
P: 0.979 0.318 0.605
O: 0.004 0.483 0.637
O: 0.014 0.141 0.089
O: 0.030 0.482 0.163
O: 0.039 0.732 0.716
O: 0.039 0.782 0.305
O: 0.075 0.148 0.887
O: 0.109 0.278 0.527
O: 0.141 0.014 0.589
O: 0.148 0.075 0.387
O: 0.151 0.351 0.007
O: 0.156 0.674 0.476
O: 0.211 0.604 0.056
O: 0.218 0.961 0.195
O: 0.221 0.524 0.768
O: 0.268 0.961 0.784
O: 0.278 0.109 0.027
O: 0.300 0.395 0.180
O: 0.326 0.844 0.024
O: 0.347 0.535 0.367
O: 0.351 0.151 0.507
O: 0.375 0.577 0.574
O: 0.395 0.300 0.680
O: 0.396 0.789 0.444
O: 0.423 0.625 0.926
O: 0.465 0.653 0.133
O: 0.476 0.779 0.732
O: 0.482 0.030 0.663
O: 0.483 0.004 0.137
O: 0.517 0.996 0.863
O: 0.518 0.970 0.337
O: 0.524 0.221 0.268
O: 0.535 0.347 0.867
O: 0.577 0.375 0.074
O: 0.604 0.211 0.556
O: 0.605 0.700 0.320
O: 0.625 0.423 0.426
O: 0.649 0.849 0.493
O: 0.653 0.465 0.633
O: 0.674 0.156 0.976
O: 0.700 0.605 0.820
O: 0.722 0.891 0.973
O: 0.732 0.039 0.216
O: 0.779 0.476 0.232
O: 0.782 0.039 0.805
O: 0.789 0.396 0.944
O: 0.844 0.326 0.524
O: 0.849 0.649 0.993
O: 0.852 0.925 0.613
O: 0.859 0.986 0.411
O: 0.891 0.722 0.473
O: 0.925 0.852 0.113
O: 0.961 0.218 0.695
O: 0.961 0.268 0.284
O: 0.970 0.518 0.837
O: 0.986 0.859 0.911
O: 0.996 0.517 0.363



# 2
DyPO4 | PBEsol | relaxed

Calculated values
E_form (uncorrected): -3.09 eV/atom
raw total energy: -0.616 Ry per atom

Cell: 5.714 5.714 5.714 Å, 106.01 106.01 116.64°
Element x y z (fractional)
Dy: 0.375 0.625 0.750
Dy: 0.625 0.375 0.250
P: 0.125 0.875 0.250
P: 0.875 0.125 0.750
O: 0.140 0.714 0.426
O: 0.212 0.286 0.926
O: 0.286 0.212 0.426
O: 0.286 0.860 0.074
O: 0.714 0.140 0.926
O: 0.714 0.788 0.574
O: 0.788 0.714 0.074
O: 0.860 0.286 0.574



# 3
DyP5O14 | PBEsol | relaxed

Calculated values
E_form (uncorrected): -2.36 eV/atom
raw total energy: -0.569 Ry per atom
relative energy among the computed polymorphs: 5 meV/atom

Cell: 8.728 12.729 8.961 Å, 90.00 90.00 90.00°
Element x y z (fractional)
Dy: 0.020 0.250 0.057
Dy: 0.480 0.750 0.557
Dy: 0.520 0.250 0.443
Dy: 0.980 0.750 0.943
P: 0.010 0.583 0.298
P: 0.010 0.917 0.298
P: 0.073 0.750 0.509
P: 0.242 0.569 0.774
P: 0.242 0.931 0.774
P: 0.258 0.069 0.274
P: 0.258 0.431 0.274
P: 0.427 0.250 0.009
P: 0.490 0.083 0.798
P: 0.490 0.417 0.798
P: 0.510 0.583 0.202
P: 0.510 0.917 0.202
P: 0.573 0.750 0.991
P: 0.742 0.569 0.726
P: 0.742 0.931 0.726
P: 0.758 0.069 0.226
P: 0.758 0.431 0.226
P: 0.927 0.250 0.491
P: 0.990 0.083 0.702
P: 0.990 0.417 0.702
O: 0.007 0.637 0.153
O: 0.007 0.863 0.153
O: 0.025 0.153 0.562
O: 0.025 0.347 0.562
O: 0.040 0.750 0.671
O: 0.112 0.507 0.680
O: 0.112 0.993 0.680
O: 0.157 0.119 0.161
O: 0.157 0.381 0.161
O: 0.167 0.530 0.345
O: 0.167 0.970 0.345
O: 0.172 0.628 0.899
O: 0.172 0.872 0.899
O: 0.230 0.750 0.444
O: 0.270 0.250 0.944
O: 0.328 0.128 0.399
O: 0.328 0.372 0.399
O: 0.333 0.030 0.845
O: 0.333 0.470 0.845
O: 0.343 0.619 0.661
O: 0.343 0.881 0.661
O: 0.388 0.007 0.180
O: 0.388 0.493 0.180
O: 0.460 0.250 0.171
O: 0.475 0.653 0.062
O: 0.475 0.847 0.062
O: 0.493 0.137 0.653
O: 0.493 0.363 0.653
O: 0.507 0.637 0.347
O: 0.507 0.863 0.347
O: 0.525 0.153 0.938
O: 0.525 0.347 0.938
O: 0.540 0.750 0.829
O: 0.612 0.507 0.820
O: 0.612 0.993 0.820
O: 0.657 0.119 0.339
O: 0.657 0.381 0.339
O: 0.667 0.530 0.155
O: 0.667 0.970 0.155
O: 0.672 0.628 0.601
O: 0.672 0.872 0.601
O: 0.730 0.750 0.056
O: 0.770 0.250 0.556
O: 0.828 0.128 0.101
O: 0.828 0.372 0.101
O: 0.833 0.030 0.655
O: 0.833 0.470 0.655
O: 0.843 0.619 0.839
O: 0.843 0.881 0.839
O: 0.888 0.007 0.320
O: 0.888 0.493 0.320
O: 0.960 0.250 0.329
O: 0.975 0.653 0.438
O: 0.975 0.847 0.438
O: 0.993 0.137 0.847
O: 0.993 0.363 0.847



# 4
DyZnPO | PBEsol | relaxed

Calculated values
E_form (uncorrected): -1.91 eV/atom
raw total energy: -0.464 Ry per atom

Cell: 10.226 10.226 10.226 Å, 21.68 21.68 21.68°
Element x y z (fractional)
Dy: 0.120 0.120 0.120
Dy: 0.880 0.880 0.880
Zn: 0.304 0.304 0.304
Zn: 0.696 0.696 0.696
P: 0.388 0.388 0.388
P: 0.612 0.612 0.612
O: 0.195 0.195 0.195
O: 0.805 0.805 0.805



# 5
DyPaO4 | PBEsol | relaxed

Calculated values
E_form (uncorrected): -3.79 eV/atom
raw total energy: -0.722 Ry per atom

Cell: 3.766 3.766 5.327 Å, 90.00 90.00 90.00°
Element x y z (fractional)
Dy: 0.000 0.000 0.000
Pa: 0.500 0.500 0.500
O: 0.000 0.500 0.259
O: 0.000 0.500 0.741
O: 0.500 0.000 0.259
O: 0.500 0.000 0.741



# 6
Dy2Pt2O7 | PBEsol | relaxed

Calculated values
E_form (uncorrected): -2.08 eV/atom
raw total energy: -0.558 Ry per atom

Cell: 7.170 7.170 7.170 Å, 60.00 60.00 60.00°
Element x y z (fractional)
Dy: 0.000 0.000 0.000
Dy: 0.000 0.000 0.500
Dy: 0.000 0.500 0.000
Dy: 0.500 0.000 0.000
Pt: 0.000 0.500 0.500
Pt: 0.500 0.000 0.500
Pt: 0.500 0.500 0.000
Pt: 0.500 0.500 0.500
O: 0.125 0.125 0.125
O: 0.159 0.159 0.591
O: 0.159 0.591 0.159
O: 0.159 0.591 0.591
O: 0.409 0.409 0.841
O: 0.409 0.841 0.409
O: 0.409 0.841 0.841
O: 0.591 0.159 0.159
O: 0.591 0.159 0.591
O: 0.591 0.591 0.159
O: 0.841 0.409 0.409
O: 0.841 0.409 0.841
O: 0.841 0.841 0.409
O: 0.875 0.875 0.875



Question: The lowest raw total energy belongs to which entry?
Answer: DyPaO4